Entry 1:
A plane-wave DFT calculation with PBE was carried out for a relaxed structure of SrIrPb.

Properties
- Magnetization: 0.0000 μB/atom
- ρ: 9063 kg/m3

Structure (CIF):
```
data_SrIrPb
_chemical_formula_sum 'Sr4 Ir4 Pb4'
_cell_length_a 7.094
_cell_length_b 7.094
_cell_length_c 7.094
_cell_angle_alpha 90.00
_cell_angle_beta 90.00
_cell_angle_gamma 90.00
_space_group_name_H-M_alt 'F -4 3 m'
_space_group_IT_number 216
_space_group_name_Hall 'F -4 2 3'
loop_
_atom_site_label
_atom_site_type_symbol
_atom_site_fract_x
_atom_site_fract_y
_atom_site_fract_z
_atom_site_occupancy
Sr1 Sr 0.000 0.000 0.000 1
Ir1 Ir 0.250 0.250 0.250 1
Pb1 Pb 0.250 0.250 0.750 1
```

=====

Entry 2:
A plane-wave DFT calculation with PBE was carried out for a relaxed structure of Sr2IrPb2.

Properties
- Magnetization: 0.0000 μB/atom
- ρ: 8475 kg/m3

Structure (CIF):
```
data_Sr2IrPb2
_chemical_formula_sum 'Sr4 Ir2 Pb4'
_cell_length_a 4.533
_cell_length_b 4.533
_cell_length_c 14.913
_cell_angle_alpha 90.00
_cell_angle_beta 90.00
_cell_angle_gamma 90.00
_space_group_name_H-M_alt 'I 4/m m m'
_space_group_IT_number 139
_space_group_name_Hall '-I 4 2'
loop_
_atom_site_label
_atom_site_type_symbol
_atom_site_fract_x
_atom_site_fract_y
_atom_site_fract_z
_atom_site_occupancy
Sr1 Sr 0.000 0.500 0.250 1
Ir1 Ir 0.000 0.000 0.000 1
Pb1 Pb 0.000 0.000 0.409 1
```

=====

Entry 3:
A plane-wave DFT calculation with PBE was carried out for a relaxed structure of Sr2TlIrPb.

Properties
- Magnetization: 0.0000 μB/atom
- ρ: 7247 kg/m3

Structure (CIF):
```
data_Sr2TlIrPb
_chemical_formula_sum 'Sr2 Tl1 Ir1 Pb1'
_cell_length_a 5.847
_cell_length_b 5.847
_cell_length_c 5.221
_cell_angle_alpha 90.00
_cell_angle_beta 90.00
_cell_angle_gamma 90.00
_space_group_name_H-M_alt 'P 4/m m m'
_space_group_IT_number 123
_space_group_name_Hall '-P 4 2'
loop_
_atom_site_label
_atom_site_type_symbol
_atom_site_fract_x
_atom_site_fract_y
_atom_site_fract_z
_atom_site_occupancy
Sr1 Sr 0.000 0.500 0.000 1
Tl1 Tl 0.000 0.000 0.500 1
Ir1 Ir 0.500 0.500 0.000 1
Pb1 Pb 0.500 0.500 0.500 1
```

=====

Entry 4:
A plane-wave DFT calculation with PBE was carried out for a relaxed structure of SrV2IrPb.

Properties
- Magnetization: 0.6218 μB/atom
- ρ: 8391 kg/m3

Structure (CIF):
```
data_SrV2IrPb
_chemical_formula_sum 'Sr1 V2 Ir1 Pb1'
_cell_length_a 4.568
_cell_length_b 4.568
_cell_length_c 5.584
_cell_angle_alpha 90.00
_cell_angle_beta 90.00
_cell_angle_gamma 90.00
_space_group_name_H-M_alt 'P 4/m m m'
_space_group_IT_number 123
_space_group_name_Hall '-P 4 2'
loop_
_atom_site_label
_atom_site_type_symbol
_atom_site_fract_x
_atom_site_fract_y
_atom_site_fract_z
_atom_site_occupancy
Sr1 Sr 0.000 0.000 0.000 1
V1 V 0.000 0.500 0.000 1
Ir1 Ir 0.500 0.500 0.500 1
Pb1 Pb 0.000 0.000 0.500 1
```

=====

Entry 5:
A plane-wave DFT calculation with PBE was carried out for a relaxed structure of TaIrPb3.

Properties
- Magnetization: 0.5733 μB/atom
- ρ: 10281 kg/m3

Structure (CIF):
```
data_TaIrPb3
_chemical_formula_sum 'Ta1 Ir1 Pb3'
_cell_length_a 5.436
_cell_length_b 5.436
_cell_length_c 5.436
_cell_angle_alpha 90.00
_cell_angle_beta 90.00
_cell_angle_gamma 90.00
_space_group_name_H-M_alt 'P m -3 m'
_space_group_IT_number 221
_space_group_name_Hall '-P 4 2 3'
loop_
_atom_site_label
_atom_site_type_symbol
_atom_site_fract_x
_atom_site_fract_y
_atom_site_fract_z
_atom_site_occupancy
Ta1 Ta 0.000 0.000 0.000 1
Ir1 Ir 0.500 0.500 0.500 1
Pb1 Pb 0.000 0.000 0.500 1
```

=====

Entry 6:
A plane-wave DFT calculation with PBE was carried out for a relaxed structure of TaIr2Pb.

Properties
- Magnetization: 0.0000 μB/atom
- ρ: 12258 kg/m3

Structure (CIF):
```
data_TaIr2Pb
_chemical_formula_sum 'Ta4 Ir8 Pb4'
_cell_length_a 6.158
_cell_length_b 6.158
_cell_length_c 11.038
_cell_angle_alpha 90.00
_cell_angle_beta 90.00
_cell_angle_gamma 90.00
_space_group_name_H-M_alt 'I -4 2 d'
_space_group_IT_number 122
_space_group_name_Hall 'I -4 2bw'
loop_
_atom_site_label
_atom_site_type_symbol
_atom_site_fract_x
_atom_site_fract_y
_atom_site_fract_z
_atom_site_occupancy
Ta1 Ta 0.000 0.000 0.000 1
Ir1 Ir 0.223 0.250 0.125 1
Pb1 Pb 0.000 0.000 0.500 1
```

=====

no.,ΔH_f (0 K) (kJ per mole of atoms)
1,72.4
2,80.8
3,-19.7
4,245.9
5,139.7
6,56.0